Entry 1:
A plane-wave DFT calculation with GGA-PBE was carried out for Li2MgAu3 after structural relaxation.

The space group is Cmmm (No. 65) and the conventional cell measures 4.552, 13.706 and 6.251 Å, with angles of 90.00, 90.00 and 90.00 degrees. The inequivalent atoms are Li at (0.000, 0.000, 0.000), Li at (0.000, 0.000, 0.500), Li at (0.000, 0.332, 0.000), Mg at (0.000, 0.335, 0.500), Au at (0.000, 0.164, 0.240) and Au at (0.000, 0.500, 0.241).

The value obtained for the energy above the most stable polymorph in this dataset is 0.0 meV per atom. The energy of formation from the pure elements is -567 meV per atom. As for the calculated total energy: -74.63 eV/cell. The magnetization comes out at 0.00 μB/cell.

---

Entry 2:
A plane-wave DFT calculation with GGA-PBE was carried out for LiMg2Au9 after structural relaxation.

The space group is P4/mmm (No. 123) and the conventional cell measures 4.157, 4.157 and 12.159 Å, with angles of 90.00, 90.00 and 90.00 degrees. The inequivalent atoms are Li at (0.000, 0.000, 0.000), Mg at (0.000, 0.000, 0.330), Au at (0.000, 0.500, 0.163), Au at (0.000, 0.500, 0.500), Au at (0.500, 0.500, 0.000) and Au at (0.500, 0.500, 0.331).

The energy of formation from the pure elements is -378 meV per atom. As for the calculated total energy: -39.14 eV/cell. The magnetization comes out at 0.00 μB/cell.

---

Entry 3:
A plane-wave DFT calculation with GGA-PBE was carried out for LiMgAu after structural relaxation.

The space group is I4mm (No. 107) and the conventional cell measures 3.394, 3.394 and 8.955 Å, with angles of 90.00, 90.00 and 90.00 degrees. The inequivalent atoms are Li at (0.000, 0.000, 0.000), Mg at (0.000, 0.000, 0.685) and Au at (0.000, 0.000, 0.354).

The value obtained for the energy above the most stable polymorph in this dataset is 25.8 meV per atom. The energy of formation from the pure elements is -482 meV per atom. As for the calculated total energy: -16.46 eV/cell. The magnetization comes out at 0.00 μB/cell.

---

Entry 4:
A plane-wave DFT calculation with GGA-PBE was carried out for LiMg4Au2 after structural relaxation.

The space group is R-3m (No. 166, hexagonal axes) and the conventional cell measures 4.6509, 4.6509 and 22.0344 Å, with angles of 90.00, 90.00 and 120.00 degrees. The inequivalent atoms are Li at (0.0000, 0.0000, 0.0000), Mg at (0.0000, 0.0000, 0.1298), Mg at (0.0000, 0.0000, 0.3842) and Au at (0.0000, 0.0000, 0.2550).

The energy of formation from the pure elements is -475 meV per atom. As for the calculated total energy: -54.52 eV/cell. The magnetization comes out at 0.00 μB/cell.

---

What did the second record say?
A plane-wave DFT calculation with GGA-PBE was carried out for LiMg2Au9 after structural relaxation.

The space group is P4/mmm (No. 123) and the conventional cell measures 4.157, 4.157 and 12.159 Å, with angles of 90.00, 90.00 and 90.00 degrees. The inequivalent atoms are Li at (0.000, 0.000, 0.000), Mg at (0.000, 0.000, 0.330), Au at (0.000, 0.500, 0.163), Au at (0.000, 0.500, 0.500), Au at (0.500, 0.500, 0.000) and Au at (0.500, 0.500, 0.331).

The energy of formation from the pure elements is -378 meV per atom. As for the calculated total energy: -39.14 eV/cell. The magnetization comes out at 0.00 μB/cell.